## TiCoPO2 (GGA+U)

Data for TiCoPO2 after structural relaxation.

```
TiCoPO2
1.0
3.7145 0.0000 0.0000
0.0000 3.7145 0.0000
0.0000 0.0000 5.4236
Ti Co P O
1 1 1 2
direct
0.0000 0.0000 0.0000 Ti
0.5000 0.5000 0.5000 Co
0.0000 0.0000 0.5000 P
0.0000 0.5000 0.0000 O
0.5000 0.0000 0.0000 O
```

- density of states at the Fermi level (states/eV/atom) = 0.439
- total magnetization (μB/atom) = 0.52
- offset from the most stable computed form (meV/atom) = 0.0
- raw total energy (eV/cell) = -33.6
- space group = No. 123